1.
! CeY2TmS4 | the Alexandria database | PBE | relaxed; values from VASP
&SYSTEM
  ibrav = 0, nat = 8, ntyp = 4
/
ATOMIC_SPECIES
Ce 140.12 Ce.upf
Y 88.91 Y.upf
Tm 168.93 Tm.upf
S 32.06 S.upf
CELL_PARAMETERS angstrom
6.7939 0.0000 0.0000
0.0000 3.9067 0.0000
-2.2502 0.0000 6.4481
ATOMIC_POSITIONS crystal
Ce 0.0000 0.0000 0.0000
Y 0.5000 0.0000 0.5000
Y 0.5000 0.5000 0.0000
Tm 0.0000 0.5000 0.5000
S 0.2480 0.0000 0.7418
S 0.2540 0.5000 0.2591
S 0.7460 0.5000 0.7409
S 0.7520 0.0000 0.2582
! SG ... P2/m (10)
! Raw formation energy ... -1.993 eV per atom
! DOS at the Fermi energy ... 7.4 states/eV per cell
! Density ... 6.0 g/cm³



2.
! ErTmGaOs | the Alexandria database | PBE | relaxed; values from VASP
&SYSTEM
  ibrav = 0, nat = 4, ntyp = 4
/
ATOMIC_SPECIES
Er 167.26 Er.upf
Tm 168.93 Tm.upf
Ga 69.72 Ga.upf
Os 190.23 Os.upf
CELL_PARAMETERS angstrom
0.0000 3.4423 3.4423
3.4423 0.0000 3.4423
3.4423 3.4423 0.0000
ATOMIC_POSITIONS crystal
Er 0.0000 0.0000 0.0000
Tm 0.5000 0.5000 0.5000
Ga 0.2500 0.2500 0.2500
Os 0.7500 0.7500 0.7500
! SG ... F-43m (216)
! Energy ... -6.23 eV/atom
! DOS at the Fermi energy ... 2.8 states/eV per cell
! Density ... 12.1 g/cm³



3.
! CeSnBr | the Alexandria database | PBE | relaxed; values from VASP
&SYSTEM
  ibrav = 0, nat = 6, ntyp = 3
/
ATOMIC_SPECIES
Ce 140.12 Ce.upf
Sn 118.71 Sn.upf
Br 79.90 Br.upf
CELL_PARAMETERS angstrom
-2.1535 2.1535 9.2307
2.1535 -2.1535 9.2307
2.1535 2.1535 -9.2307
ATOMIC_POSITIONS crystal
Ce 0.1325 0.1325 0.0000
Ce 0.8675 0.8675 0.0000
Sn 0.0000 0.5000 0.5000
Sn 0.5000 0.0000 0.5000
Br 0.3092 0.3092 0.0000
Br 0.6908 0.6908 0.0000
! SG ... I4/mmm (139)
! Raw formation energy ... -1.071 eV per atom
! DOS at the Fermi energy ... 15.3 states/eV per cell
! Density ... 6.6 g/cm³



4.
! RbPt4I12 | the Alexandria database | PBE | relaxed; values from VASP
&SYSTEM
  ibrav = 0, nat = 17, ntyp = 3
/
ATOMIC_SPECIES
Rb 85.47 Rb.upf
Pt 195.08 Pt.upf
I 126.90 I.upf
CELL_PARAMETERS angstrom
-5.3112 5.3112 5.3112
5.3112 -5.3112 5.3112
5.3112 5.3112 -5.3112
ATOMIC_POSITIONS crystal
Rb 0.0000 0.0000 0.0000
Pt 0.0000 0.0000 0.5000
Pt 0.0000 0.5000 0.0000
Pt 0.5000 0.0000 0.0000
Pt 0.5000 0.5000 0.5000
I 0.1128 0.8083 0.3045
I 0.1917 0.3045 0.4962
I 0.1917 0.6955 0.8872
I 0.3045 0.1128 0.8083
I 0.3045 0.4962 0.1917
I 0.4962 0.1917 0.3045
I 0.5038 0.8083 0.6955
I 0.6955 0.5038 0.8083
I 0.6955 0.8872 0.1917
I 0.8083 0.3045 0.1128
I 0.8083 0.6955 0.5038
I 0.8872 0.1917 0.6955
! SG ... Im-3 (204)
! Raw formation energy ... -0.181 eV per atom
! DOS at the Fermi energy ... 12.2 states/eV per cell
! Density ... 6.6 g/cm³



5.
! TiNb2Au2 | the Alexandria database | PBE | relaxed; values from VASP
&SYSTEM
  ibrav = 0, nat = 10, ntyp = 3
/
ATOMIC_SPECIES
Ti 47.87 Ti.upf
Nb 92.91 Nb.upf
Au 196.97 Au.upf
CELL_PARAMETERS angstrom
8.1357 0.0000 0.0000
0.0000 8.1357 0.0000
0.0000 0.0000 2.8502
ATOMIC_POSITIONS crystal
Ti 0.0000 0.0000 0.0000
Ti 0.5000 0.5000 0.0000
Nb 0.1186 0.3814 0.0000
Nb 0.3814 0.8814 0.0000
Nb 0.6186 0.1186 0.0000
Nb 0.8814 0.6186 0.0000
Au 0.1771 0.6771 0.5000
Au 0.3229 0.1771 0.5000
Au 0.6771 0.8229 0.5000
Au 0.8229 0.3229 0.5000
! SG ... P4/mbm (127)
! DOS at the Fermi energy ... 12.7 states/eV per cell
! E above lowest polymorph ... 0 meV per atom
! Density ... 11.0 g/cm³



6.
! NbSiB3 | the Alexandria database | PBE | relaxed; values from VASP
&SYSTEM
  ibrav = 0, nat = 5, ntyp = 3
/
ATOMIC_SPECIES
Nb 92.91 Nb.upf
Si 28.09 Si.upf
B 10.81 B.upf
CELL_PARAMETERS angstrom
4.2730 0.0000 0.0000
0.0000 4.2730 0.0000
0.0000 0.0000 4.2730
ATOMIC_POSITIONS crystal
Nb 0.0000 0.0000 0.0000
Si 0.5000 0.5000 0.5000
B 0.0000 0.0000 0.5000
B 0.0000 0.5000 0.0000
B 0.5000 0.0000 0.0000
! SG ... Pm-3m (221)
! Raw formation energy ... 1.661 eV per atom
! DOS at the Fermi energy ... 1.2 states/eV per cell
! E above lowest polymorph ... 370 meV per atom
! Density ... 3.3 g/cm³



7.
! ReTeMo2 | the Alexandria database | PBE | relaxed; values from VASP
&SYSTEM
  ibrav = 0, nat = 4, ntyp = 3
/
ATOMIC_SPECIES
Re 186.21 Re.upf
Te 127.60 Te.upf
Mo 95.94 Mo.upf
CELL_PARAMETERS angstrom
-1.6253 2.2486 4.5487
1.6253 -2.2486 4.5487
1.6253 2.2486 -4.5487
ATOMIC_POSITIONS crystal
Re 0.0000 0.0000 0.0000
Te 0.5000 0.5000 0.0000
Mo 0.2570 0.7570 0.5000
Mo 0.7430 0.2430 0.5000
! SG ... Immm (71)
! Raw formation energy ... 0.464 eV per atom
! DOS at the Fermi energy ... 3.2 states/eV per cell
! Density ... 12.6 g/cm³



8.
! KIn2Pt | the Alexandria database | PBE | relaxed; values from VASP
&SYSTEM
  ibrav = 0, nat = 4, ntyp = 3
/
ATOMIC_SPECIES
K 39.10 K.upf
In 114.82 In.upf
Pt 195.08 Pt.upf
CELL_PARAMETERS angstrom
0.0000 3.6521 3.6521
3.6521 0.0000 3.6521
3.6521 3.6521 0.0000
ATOMIC_POSITIONS crystal
K 0.0000 0.0000 0.0000
In 0.5000 0.5000 0.5000
In 0.7500 0.7500 0.7500
Pt 0.2500 0.2500 0.2500
! SG ... F-43m (216)
! Energy ... -3.08 eV/atom
! DOS at the Fermi energy ... 2.0 states/eV per cell
! Density ... 7.9 g/cm³



9.
! Pm2HoPb | the Alexandria database | PBE | relaxed; values from VASP
&SYSTEM
  ibrav = 0, nat = 4, ntyp = 3
/
ATOMIC_SPECIES
Pm 145.00 Pm.upf
Ho 164.93 Ho.upf
Pb 207.20 Pb.upf
CELL_PARAMETERS angstrom
4.8942 0.0000 0.0000
0.0000 4.8942 0.0000
0.0000 0.0000 4.9803
ATOMIC_POSITIONS crystal
Pm 0.0000 0.5000 0.0000
Pm 0.5000 0.0000 0.0000
Ho 0.0000 0.0000 0.5000
Pb 0.5000 0.5000 0.5000
! SG ... P4/mmm (123)
! DOS at the Fermi energy ... 4.6 states/eV per cell
! E above lowest polymorph ... 0 meV per atom
! Density ... 9.2 g/cm³



10.
! K4ZrBi3Se8 | the Alexandria database | PBE | relaxed; values from VASP
&SYSTEM
  ibrav = 0, nat = 16, ntyp = 4
/
ATOMIC_SPECIES
K 39.10 K.upf
Zr 91.22 Zr.upf
Bi 208.98 Bi.upf
Se 78.96 Se.upf
CELL_PARAMETERS angstrom
4.3214 2.4950 7.5725
-4.3214 2.4950 7.5725
0.0000 -4.9899 7.5725
ATOMIC_POSITIONS crystal
K 0.0000 0.0000 0.0000
K 0.0000 0.5000 0.5000
K 0.5000 0.0000 0.5000
K 0.5000 0.5000 0.0000
Zr 0.5000 0.5000 0.5000
Bi 0.0000 0.0000 0.5000
Bi 0.0000 0.5000 0.0000
Bi 0.5000 0.0000 0.0000
Se 0.2375 0.2375 0.2375
Se 0.2553 0.7227 0.7227
Se 0.2773 0.2773 0.7447
Se 0.2773 0.7447 0.2773
Se 0.7227 0.2553 0.7227
Se 0.7227 0.7227 0.2553
Se 0.7447 0.2773 0.2773
Se 0.7625 0.7625 0.7625
! SG ... R-3m (166)
! Raw formation energy ... -0.917 eV per atom
! DOS at the Fermi energy ... 5.0 states/eV per cell
! Density ... 5.1 g/cm³



11.
! MgIrSe2 | the Alexandria database | PBE | relaxed; values from VASP
&SYSTEM
  ibrav = 0, nat = 4, ntyp = 3
/
ATOMIC_SPECIES
Mg 24.30 Mg.upf
Ir 192.22 Ir.upf
Se 78.96 Se.upf
CELL_PARAMETERS angstrom
4.6479 0.0000 0.0000
0.0000 4.6479 0.0000
0.0000 0.0000 3.1672
ATOMIC_POSITIONS crystal
Mg 0.0000 0.0000 0.0000
Ir 0.5000 0.5000 0.0000
Se 0.0000 0.5000 0.5000
Se 0.5000 0.0000 0.5000
! SG ... P4/mmm (123)
! Raw formation energy ... -0.116 eV per atom
! DOS at the Fermi energy ... 1.7 states/eV per cell
! Density ... 9.1 g/cm³



12.
! Pm2Sm5Tm5 | the Alexandria database | PBE | relaxed; values from VASP
&SYSTEM
  ibrav = 0, nat = 12, ntyp = 3
/
ATOMIC_SPECIES
Pm 145.00 Pm.upf
Sm 150.36 Sm.upf
Tm 168.93 Tm.upf
CELL_PARAMETERS angstrom
6.0057 -2.8242 0.0000
6.0057 2.8242 0.0000
-3.9179 0.0000 11.3753
ATOMIC_POSITIONS crystal
Pm 0.0471 0.0471 0.2033
Pm 0.9529 0.9529 0.7967
Sm 0.0000 0.0000 0.5000
Sm 0.2140 0.2140 0.0374
Sm 0.2481 0.2481 0.7438
Sm 0.7519 0.7519 0.2562
Sm 0.7860 0.7860 0.9626
Tm 0.2914 0.2914 0.4572
Tm 0.4619 0.4619 0.2934
Tm 0.5000 0.5000 0.0000
Tm 0.5381 0.5381 0.7066
Tm 0.7086 0.7086 0.5428
! SG ... C2/m (12)
! Energy ... -4.56 eV/atom
! DOS at the Fermi energy ... 17.8 states/eV per cell
! Density ... 8.1 g/cm³